(1)
# MgNiAu2I

A geometry-optimized MgNiAu2I structure (PBE, the Alexandria database).

Its formation energy from raw total energies is 0.30 eV per atom. The crystal system is tetragonal.

The space group is P4/mmm (No. 123) and the conventional cell measures 4.9344, 4.9344 and 4.9332 Å, with angles of 90.00, 90.00 and 90.00 degrees. The asymmetric unit holds Mg at (0.0000, 0.0000, 0.0000), Ni at (0.5000, 0.5000, 0.5000), Au at (0.0000, 0.5000, 0.5000) and I at (0.5000, 0.5000, 0.0000).

(2)
# MgAuIO2

A geometry-optimized MgAuIO2 structure (PBE, the Alexandria database).

Its formation energy from raw total energies is 0.14 eV per atom. The calculation puts the energy above the most stable polymorph in this dataset at 0.443 eV/atom. The crystal system is tetragonal.

The space group is P4/mmm (No. 123) and the conventional cell measures 4.1706, 4.1706 and 5.7055 Å, with angles of 90.00, 90.00 and 90.00 degrees. The asymmetric unit holds Mg at (0.0000, 0.0000, 0.0000), Au at (0.5000, 0.5000, 0.5000), I at (0.5000, 0.5000, 0.0000) and O at (0.0000, 0.5000, 0.5000).

(3)
# MgAuIO2

A geometry-optimized MgAuIO2 structure (PBE, the Alexandria database).

Its formation energy from raw total energies is -0.30 eV per atom. The calculation puts the energy above the most stable polymorph in this dataset at 0.000 eV/atom. The crystal system is tetragonal.

The space group is P4/mmm (No. 123) and the conventional cell measures 3.9339, 3.9339 and 6.8684 Å, with angles of 90.00, 90.00 and 90.00 degrees. The asymmetric unit holds Mg at (0.0000, 0.0000, 0.0000), Au at (0.5000, 0.5000, 0.5000), I at (0.0000, 0.0000, 0.5000) and O at (0.0000, 0.5000, 0.0000).

(4)
# MgSb2AuI

A geometry-optimized MgSb2AuI structure (PBE, the Alexandria database).

Its formation energy from raw total energies is 0.47 eV per atom. The calculation puts the energy above the most stable polymorph in this dataset at 0.000 eV/atom. The crystal system is tetragonal.

The space group is P4/mmm (No. 123) and the conventional cell measures 5.4414, 5.4414 and 5.7031 Å, with angles of 90.00, 90.00 and 90.00 degrees. The asymmetric unit holds Mg at (0.0000, 0.0000, 0.0000), Sb at (0.0000, 0.5000, 0.5000), Au at (0.5000, 0.5000, 0.5000) and I at (0.5000, 0.5000, 0.0000).

(5)
# MgSbAuI2

A geometry-optimized MgSbAuI2 structure (PBE, the Alexandria database).

Its formation energy from raw total energies is 0.31 eV per atom. The calculation puts the energy above the most stable polymorph in this dataset at 0.000 eV/atom. The crystal system is tetragonal.

The space group is P4/mmm (No. 123) and the conventional cell measures 5.6557, 5.6557 and 5.5697 Å, with angles of 90.00, 90.00 and 90.00 degrees. The asymmetric unit holds Mg at (0.0000, 0.0000, 0.0000), Sb at (0.5000, 0.5000, 0.0000), Au at (0.5000, 0.5000, 0.5000) and I at (0.0000, 0.5000, 0.5000).

(6)
# Mg2SnAuI

A geometry-optimized Mg2SnAuI structure (PBE, the Alexandria database).

Its formation energy from raw total energies is -0.07 eV per atom. The crystal system is tetragonal.

The space group is P4/mmm (No. 123) and the conventional cell measures 5.5433, 5.5433 and 5.1892 Å, with angles of 90.00, 90.00 and 90.00 degrees. The asymmetric unit holds Mg at (0.0000, 0.5000, 0.0000), Sn at (0.0000, 0.0000, 0.0000), Au at (0.0000, 0.0000, 0.5000) and I at (0.5000, 0.5000, 0.5000).

(7)
# MgTc2AuI

A geometry-optimized MgTc2AuI structure (PBE, the Alexandria database).

Its formation energy from raw total energies is 1.65 eV per atom. The crystal system is tetragonal.

The space group is P4/mmm (No. 123) and the conventional cell measures 5.1427, 5.1427 and 5.5616 Å, with angles of 90.00, 90.00 and 90.00 degrees. The asymmetric unit holds Mg at (0.0000, 0.0000, 0.0000), Tc at (0.0000, 0.5000, 0.5000), Au at (0.5000, 0.5000, 0.5000) and I at (0.5000, 0.5000, 0.0000).

(8)
# MgTe2AuI

A geometry-optimized MgTe2AuI structure (PBE, the Alexandria database).

Its formation energy from raw total energies is 0.26 eV per atom. The calculation puts the energy above the most stable polymorph in this dataset at 0.000 eV/atom. The crystal system is tetragonal.

The space group is P4/mmm (No. 123) and the conventional cell measures 5.5161, 5.5161 and 5.5556 Å, with angles of 90.00, 90.00 and 90.00 degrees. The asymmetric unit holds Mg at (0.0000, 0.0000, 0.0000), Te at (0.0000, 0.5000, 0.5000), Au at (0.5000, 0.5000, 0.5000) and I at (0.5000, 0.5000, 0.0000).

(9)
# MnAu2I

A geometry-optimized MnAu2I structure (PBE, the Alexandria database).

Its formation energy from raw total energies is 0.31 eV per atom. The calculation puts the energy above the most stable polymorph in this dataset at 0.000 eV/atom. The crystal system is tetragonal.

The space group is I-42d (No. 122) and the conventional cell measures 8.0912, 8.0912 and 5.5459 Å, with angles of 90.00, 90.00 and 90.00 degrees. The asymmetric unit holds Mn at (0.0000, 0.0000, 0.0000), Au at (0.2156, 0.2500, 0.1250) and I at (0.0000, 0.0000, 0.5000).

(10)
# MnAuI5

A geometry-optimized MnAuI5 structure (PBE, the Alexandria database).

Its formation energy from raw total energies is -0.17 eV per atom. The crystal system is monoclinic.

The space group is C2/c (No. 15) and the conventional cell measures 12.3364, 9.7017 and 11.5674 Å, with angles of 90.00, 116.13 and 90.00 degrees. The asymmetric unit holds Mn at (0.0000, 0.1985, 0.2500), Au at (0.0000, 0.5000, 0.0000), I at (0.0000, 0.4852, 0.2500), I at (0.0372, 0.2297, 0.0354) and I at (0.1845, 0.0350, 0.3587).

(11)
# MnAu2I

A geometry-optimized MnAu2I structure (PBE, the Alexandria database).

Its formation energy from raw total energies is 0.52 eV per atom. The calculation puts the energy above the most stable polymorph in this dataset at 0.211 eV/atom. The crystal system is cubic.

The space group is Fm-3m (No. 225) and the conventional cell measures 6.9980, 6.9980 and 6.9980 Å, with angles of 90.00, 90.00 and 90.00 degrees. The asymmetric unit holds Mn at (0.0000, 0.0000, 0.0000), Au at (0.2500, 0.2500, 0.2500) and I at (0.0000, 0.0000, 0.5000).

(12)
# Mn2AuI6

A geometry-optimized Mn2AuI6 structure (PBE, the Alexandria database).

Its formation energy from raw total energies is -0.27 eV per atom. The calculation puts the energy above the most stable polymorph in this dataset at 0.000 eV/atom. The crystal system is monoclinic.

The space group is C2/c (No. 15) and the conventional cell measures 14.7576, 16.7241 and 7.3864 Å, with angles of 90.00, 119.99 and 90.00 degrees. The asymmetric unit holds Mn at (0.2502, 0.0755, 0.1112), Au at (0.0000, 0.2497, 0.7500), I at (0.0796, 0.1425, 0.0797), I at (0.0799, 0.3567, 0.5796) and I at (0.2505, 0.0764, 0.7441).

(13)
# MnAu2I5

A geometry-optimized MnAu2I5 structure (PBE, the Alexandria database).

Its formation energy from raw total energies is -0.15 eV per atom. The crystal system is triclinic.

The space group is P1 (No. 1) and the conventional cell measures 7.2399, 7.5357 and 8.4182 Å, with angles of 109.44, 95.83 and 116.63 degrees. The asymmetric unit holds Mn at (0.0000, 0.0000, 0.0000), Au at (0.3184, 0.1042, 0.2956), Au at (0.5249, 0.0387, 0.7420), I at (0.0991, 0.9657, 0.7012), I at (0.2541, 0.4136, 0.2429), I at (0.5824, 0.8635, 0.9524), I at (0.6755, 0.2441, 0.5434) and I at (0.9961, 0.6873, 0.0831).

(14)
# MnAuI2N

A geometry-optimized MnAuI2N structure (PBE, the Alexandria database).

Its formation energy from raw total energies is 0.42 eV per atom. The calculation puts the energy above the most stable polymorph in this dataset at 0.000 eV/atom. The crystal system is tetragonal.

The space group is P4/mmm (No. 123) and the conventional cell measures 5.5600, 5.5600 and 3.5722 Å, with angles of 90.00, 90.00 and 90.00 degrees. The asymmetric unit holds Mn at (0.0000, 0.0000, 0.0000), Au at (0.5000, 0.5000, 0.5000), I at (0.0000, 0.5000, 0.0000) and N at (0.0000, 0.0000, 0.5000).

(15)
# MnAuI2N

A geometry-optimized MnAuI2N structure (PBE, the Alexandria database).

Its formation energy from raw total energies is 1.02 eV per atom. The calculation puts the energy above the most stable polymorph in this dataset at 0.600 eV/atom. The crystal system is tetragonal.

The space group is P4/mmm (No. 123) and the conventional cell measures 6.0466, 6.0466 and 3.7993 Å, with angles of 90.00, 90.00 and 90.00 degrees. The asymmetric unit holds Mn at (0.0000, 0.0000, 0.0000), Au at (0.5000, 0.5000, 0.5000), I at (0.0000, 0.5000, 0.5000) and N at (0.5000, 0.5000, 0.0000).

(16)
# MnPRhAuI

A geometry-optimized MnPRhAuI structure (PBE, the Alexandria database).

Its formation energy from raw total energies is -0.15 eV per atom. The calculation puts the energy above the most stable polymorph in this dataset at 0.006 eV/atom. The crystal system is monoclinic.

The space group is Cm (No. 8) and the conventional cell measures 6.7140, 3.8775 and 8.5027 Å, with angles of 90.00, 105.37 and 90.00 degrees. The asymmetric unit holds Mn at (0.0000, 0.0000, 0.0000), P at (0.3770, 0.0000, 0.1302), Rh at (0.2363, 0.5000, 0.2077), Au at (0.4775, 0.0000, 0.4295) and I at (0.0864, 0.5000, 0.7586).

(17)
# MnPRhAuI

A geometry-optimized MnPRhAuI structure (PBE, the Alexandria database).

Its formation energy from raw total energies is -0.04 eV per atom. The calculation puts the energy above the most stable polymorph in this dataset at 0.115 eV/atom. The crystal system is monoclinic.

The space group is Pm (No. 6) and the conventional cell measures 5.5585, 3.5401 and 5.7284 Å, with angles of 90.00, 118.52 and 90.00 degrees. The asymmetric unit holds Mn at (0.0000, 0.0000, 0.0000), P at (0.6297, 0.5000, 0.8311), Rh at (0.5113, 0.0000, 0.5443), Au at (0.4146, 0.5000, 0.1213) and I at (0.9924, 0.0000, 0.4892).

(18)
# MnPRhAuI

A geometry-optimized MnPRhAuI structure (PBE, the Alexandria database).

Its formation energy from raw total energies is -0.02 eV per atom. The calculation puts the energy above the most stable polymorph in this dataset at 0.142 eV/atom. The crystal system is orthorhombic.

The space group is Amm2 (No. 38) and the conventional cell measures 3.7461, 4.2891 and 14.1236 Å, with angles of 90.00, 90.00 and 90.00 degrees. The asymmetric unit holds Mn at (0.0000, 0.0000, 0.0000), P at (0.5000, 0.0000, 0.1106), Rh at (0.0000, 0.0000, 0.1950), Au at (0.5000, 0.0000, 0.5251) and I at (0.0000, 0.0000, 0.8145).

(19)
# MnPRhAuI

A geometry-optimized MnPRhAuI structure (PBE, the Alexandria database).

Its formation energy from raw total energies is -0.15 eV per atom. The calculation puts the energy above the most stable polymorph in this dataset at 0.009 eV/atom. The crystal system is trigonal.

The space group is P3m1 (No. 156) and the conventional cell measures 3.9592, 3.9592 and 7.7293 Å, with angles of 90.00, 90.00 and 120.00 degrees. The asymmetric unit holds Mn at (0.0000, 0.0000, 0.0000), P at (0.3333, 0.6667, 0.0859), Rh at (0.6667, 0.3333, 0.1814), Au at (0.3333, 0.6667, 0.4070) and I at (0.0000, 0.0000, 0.6510).

(20)
# MnPRhAuI

A geometry-optimized MnPRhAuI structure (PBE, the Alexandria database).

Its formation energy from raw total energies is -0.13 eV per atom. The calculation puts the energy above the most stable polymorph in this dataset at 0.025 eV/atom. The crystal system is monoclinic.

The space group is Cm (No. 8) and the conventional cell measures 6.6392, 3.9087 and 7.7827 Å, with angles of 90.00, 91.20 and 90.00 degrees. The asymmetric unit holds Mn at (0.0000, 0.0000, 0.0000), P at (0.1730, 0.5000, 0.1203), Rh at (0.3415, 0.0000, 0.2103), Au at (0.2057, 0.5000, 0.4423) and I at (0.2575, 0.0000, 0.7155).